Record 1
This record from the Alexandria database describes a geometry-optimized NaLiAl4Si2O12 structure. The functional is PBE.

ρ, g/cm3: 2.75
Size of the total moment, μB/f.u.: 0.0
E_form (uncorrected), kJ per mole of atoms: -254.6

Cell lengths 5.2604, 5.2604, 19.3990 Å; angles 92.49, 92.49, 119.36 degrees
With the nearest neighbours (Å) after each atom.
Sites, in units of the cell vectors:
Na 0.0840 0.9160 0.5000  6 O 2.53-2.73
Na 0.9160 0.0840 0.0000  6 O 2.53-2.73
Li 0.0153 0.5054 0.2492  6 O 2.18-2.33
Li 0.5054 0.0153 0.7492  6 O 2.18-2.33
Al 0.1850 0.3768 0.7497  6 O 1.86-1.92
Al 0.2969 0.7992 0.1057  4 O 1.76-1.79
Al 0.3768 0.1850 0.2497  6 O 1.86-1.92
Al 0.3829 0.5341 0.3938  4 O 1.75-1.80
Al 0.5341 0.3829 0.8938  4 O 1.75-1.80
Al 0.6289 0.8102 0.2500  6 O 1.81-2.01
Al 0.7992 0.2969 0.6057  4 O 1.76-1.79
Al 0.8102 0.6289 0.7500  6 O 1.81-2.01
Si 0.1946 0.7046 0.8945  4 O 1.63-1.70
Si 0.4572 0.6193 0.6052  4 O 1.63-1.70
Si 0.6193 0.4572 0.1052  4 O 1.63-1.70
Si 0.7046 0.1946 0.3945  4 O 1.63-1.70
O 0.0121 0.9241 0.2840  1 O 1.59
O 0.0336 0.4678 0.4132  1 Si 1.63, 1 Al 1.76
O 0.0688 0.9893 0.7156  1 O 1.59
O 0.1336 0.3595 0.5754  1 Si 1.63, 1 Al 1.76
O 0.1432 0.6447 0.8068  1 Si 1.70, 1 Al 1.86
O 0.2671 0.4593 0.9237  1 Si 1.63, 1 Al 1.75
O 0.3595 0.1336 0.0754  1 Si 1.63, 1 Al 1.76
O 0.3642 0.8594 0.1980  3 Al 1.79-1.92
O 0.3953 0.5140 0.3013  3 Al 1.80-1.92
O 0.4593 0.2671 0.4237  1 Si 1.63, 1 Al 1.75
O 0.4678 0.0336 0.9132  1 Si 1.63, 1 Al 1.76
O 0.4744 0.6125 0.6930  1 Si 1.70, 1 Al 1.87
O 0.5083 0.9393 0.5865  1 Si 1.63, 1 Al 1.76
O 0.5140 0.3953 0.8013  3 Al 1.80-1.92
O 0.5596 0.7116 0.0771  1 Si 1.63, 1 Al 1.76
O 0.6125 0.4744 0.1930  1 Si 1.70, 1 Al 1.87
O 0.6447 0.1432 0.3068  1 Si 1.70, 1 Al 1.86
O 0.6603 0.8898 0.4232  1 Si 1.63, 1 Al 1.76
O 0.7116 0.5596 0.5771  1 Si 1.63, 1 Al 1.76
O 0.8594 0.3642 0.6980  3 Al 1.79-1.92
O 0.8898 0.6603 0.9232  1 Si 1.63, 1 Al 1.76
O 0.9241 0.0121 0.7840  1 O 1.59
O 0.9393 0.5083 0.0865  1 Si 1.63, 1 Al 1.76
O 0.9893 0.0688 0.2156  1 O 1.59

Record 2
This record from the Alexandria database describes a geometry-optimized Na2LiAlP2 structure. The functional is PBE.

ΔE to the lowest computed polymorph, meV per atom: 0
ρ, g/cm3: 2.05
Size of the total moment, μB/f.u.: 0.0

Cell lengths 8.9570, 8.9570, 5.7961 Å; angles 90.00, 90.00, 99.29 degrees
With the nearest neighbours (Å) after each atom.
Sites, in units of the cell vectors:
Na 0.0685 0.4315 0.7500  5 P 2.96-3.10, 2 Al 3.19, 2 Li 3.25
Na 0.1782 0.8218 0.7862  5 P 2.97-3.09, 2 Li 3.06, 2 Al 3.31
Na 0.3218 0.6782 0.2862  5 P 2.97-3.09, 2 Li 3.06, 2 Al 3.31
Na 0.4315 0.0685 0.2500  5 P 2.96-3.10, 2 Al 3.19, 2 Li 3.25
Na 0.5685 0.9315 0.7500  5 P 2.96-3.10, 2 Al 3.19, 2 Li 3.25
Na 0.6782 0.3218 0.7138  5 P 2.97-3.09, 2 Li 3.06, 2 Al 3.31
Na 0.8218 0.1782 0.2138  5 P 2.97-3.09, 2 Li 3.06, 2 Al 3.31
Na 0.9315 0.5685 0.2500  5 P 2.96-3.10, 2 Al 3.19, 2 Li 3.25
Li 0.1187 0.1187 0.0000  4 P 2.52-2.58, 1 Li 2.75
Li 0.3813 0.3813 0.5000  4 P 2.52-2.58, 1 Li 2.75
Li 0.6187 0.6187 0.5000  4 P 2.52-2.58, 1 Li 2.75
Li 0.8813 0.8813 0.0000  4 P 2.52-2.58, 1 Li 2.75
Al 0.1297 0.1297 0.5000  4 P 2.41-2.44
Al 0.3703 0.3703 0.0000  4 P 2.41-2.44
Al 0.6297 0.6297 0.0000  4 P 2.41-2.44
Al 0.8703 0.8703 0.5000  4 P 2.41-2.44
P 0.1042 0.8958 0.2864  2 Al 2.41, 2 Li 2.58
P 0.1486 0.3514 0.2500  2 Al 2.44, 2 Li 2.52
P 0.3514 0.1486 0.7500  2 Al 2.44, 2 Li 2.52
P 0.3958 0.6042 0.7864  2 Al 2.41, 2 Li 2.58
P 0.6042 0.3958 0.2136  2 Al 2.41, 2 Li 2.58
P 0.6486 0.8514 0.2500  2 Al 2.44, 2 Li 2.52
P 0.8514 0.6486 0.7500  2 Al 2.44, 2 Li 2.52
P 0.8958 0.1042 0.7136  2 Al 2.41, 2 Li 2.58

Question: What is the ρ in the second record?
Answer: 2.05 g/cm3